11
Lattice="3.952 0.000 0.000 0.000 7.038 0.000 -1.976 -3.519 6.399" Properties=species:S:1:pos:R:3 comment="Np3P4Rh4 (PBE, relaxed)" magnetic_moment_mub_per_fu=6.82 e_form_ev_per_atom=-0.87 dos_at_fermi_per_ev_cell=15.04 pbc="T T T"
Rh 0.000 -1.423 4.105
Rh 0.000 1.423 4.105
P 0.000 3.519 2.857
Np 1.976 3.519 5.207
P 1.976 5.426 0.000
P 1.976 0.000 3.542
Rh 1.976 4.943 2.294
P 1.976 1.612 0.000
Np 0.000 0.000 1.192
Np 0.000 3.519 0.000
Rh 1.976 2.096 2.294

14
Lattice="-2.303 -2.689 -1.144 0.842 -3.555 6.663 -5.908 3.866 2.809" Properties=species:S:1:pos:R:3 comment="NpP2Rh4 (PBE, relaxed)" magnetic_moment_mub_per_fu=3.47 e_form_ev_per_atom=-0.68 dos_at_fermi_per_ev_cell=24.08 pbc="T T T"
P -0.697 -1.862 5.784
Np -1.152 -1.345 -0.572
P -2.529 -1.260 2.004
P -4.840 -1.118 6.324
Rh -0.176 -0.861 2.381
Rh -3.209 -0.675 8.051
P -4.369 2.174 3.688
Rh -4.890 1.173 7.091
Rh -2.961 -2.639 6.117
Rh -1.857 0.986 1.421
Rh -4.408 0.261 2.211
Rh -5.670 0.339 4.570
Np -2.533 0.156 4.736
Rh -1.700 -2.717 3.758

29
Lattice="-3.780 0.632 7.578 -6.128 -5.469 2.157 1.450 -5.863 5.970" Properties=species:S:1:pos:R:3 comment="Np3P6Rh20 (PBE, relaxed)" magnetic_moment_mub_per_fu=6.38 e_form_ev_per_atom=-0.56 dos_at_fermi_per_ev_cell=51.80 pbc="T T T"
P -1.636 -5.584 6.993
Rh -6.136 -6.677 7.012
Rh -5.923 -3.835 6.881
P -6.823 -5.116 8.712
Rh -2.494 0.417 5.001
Np -2.115 -2.675 3.926
Rh -2.084 -1.860 0.734
P -4.024 -2.618 7.727
Rh -3.438 -6.921 6.118
Rh 0.493 -1.994 2.030
Rh 0.957 -3.869 3.939
Np 0.000 0.000 0.000
Rh -3.551 -5.603 3.454
Rh -4.579 -1.443 5.734
Rh -2.322 -4.023 8.693
Rh -1.128 -5.729 4.673
Rh -0.329 -3.654 6.517
Rh -5.020 -3.779 9.587
Rh -2.536 -6.864 8.823
Rh -4.044 -3.609 1.423
Rh -1.286 0.215 2.577
Np -6.344 -8.025 11.779
P -5.096 -5.404 5.251
P -4.434 -8.082 7.978
Rh -5.329 -3.394 4.001
P -3.362 -5.296 10.454
Rh -2.001 -1.577 7.031
Rh -5.234 -6.621 9.718
Rh -3.225 -4.079 5.987

11
Lattice="-3.486 1.133 0.818 -2.478 -6.292 -1.847 1.943 1.194 6.629" Properties=species:S:1:pos:R:3 comment="NpP4Rh6 (PBE, relaxed)" magnetic_moment_mub_per_fu=3.82 e_form_ev_per_atom=-0.73 dos_at_fermi_per_ev_cell=11.86 pbc="T T T"
P -2.545 -3.792 3.028
Rh -1.684 -2.286 4.612
Rh -1.465 -0.203 2.659
Rh -1.194 -3.272 -0.557
P -2.314 -1.592 0.965
Rh -0.410 -2.790 2.118
Np 0.000 0.000 0.000
Rh -0.672 0.284 5.367
P -3.383 -4.307 0.168
P 0.469 -1.302 3.804
Rh -1.410 -5.329 1.373

10
Lattice="3.940 0.000 0.000 0.000 6.894 0.000 -1.970 0.000 7.132" Properties=species:S:1:pos:R:3 comment="Np2P2Rh (PBE, relaxed)" magnetic_moment_mub_per_fu=7.04 e_form_ev_per_atom=-0.71 dos_at_fermi_per_ev_cell=27.33 pbc="T T T"
Np 1.970 4.895 6.282
P 1.970 6.283 0.670
Rh 1.970 4.034 1.384
P 0.000 3.563 2.611
Rh 0.000 0.586 5.748
Np 1.970 2.835 4.396
P 0.000 2.836 6.462
Np 0.000 6.282 2.736
Np 0.000 1.448 0.851
P 1.970 0.116 4.522

3
Lattice="3.650 0.000 0.000 0.000 3.650 0.000 -1.825 -1.825 4.184" Properties=species:S:1:pos:R:3 comment="NpPRh (PBE, relaxed)" magnetic_moment_mub_per_fu=2.98 e_form_ev_per_atom=-0.31 dos_at_fermi_per_ev_cell=6.00 pbc="T T T"
P 1.825 1.825 3.646
Np 0.000 0.000 2.299
Rh 1.825 1.825 1.168

9
Lattice="-3.358 0.607 -1.996 -3.252 -2.795 4.624 2.299 6.755 2.099" Properties=species:S:1:pos:R:3 comment="Np3P4Rh2 (PBE, relaxed)" magnetic_moment_mub_per_fu=11.07 e_form_ev_per_atom=-0.77 dos_at_fermi_per_ev_cell=25.07 pbc="T T T"
Rh -4.697 0.045 4.003
P -3.869 2.180 3.259
Rh 0.387 4.523 0.725
Np -2.655 4.227 1.838
P -0.442 2.387 1.468
Np -1.655 0.340 2.889
P -0.377 5.994 2.457
Np 0.000 0.000 0.000
P -3.933 -1.426 2.271

10
Lattice="6.188 0.328 -0.005 -1.791 5.933 -0.005 -2.193 -3.121 4.857" Properties=species:S:1:pos:R:3 comment="NpP2Rh2 (PBE, relaxed)" magnetic_moment_mub_per_fu=4.29 e_form_ev_per_atom=-0.60 dos_at_fermi_per_ev_cell=20.45 pbc="T T T"
P 0.275 3.323 3.635
Rh 3.546 -1.313 2.555
Rh 2.648 1.648 0.126
P 1.930 -0.184 1.212
Np 2.651 1.654 3.635
Np -0.446 1.485 1.212
Rh -1.341 4.452 2.292
P 3.366 3.483 1.206
P -1.161 -0.344 3.640
Rh -0.443 1.491 4.721

5
Lattice="-2.098 0.477 -3.327 -1.455 -3.664 0.392 -5.831 0.319 1.363" Properties=species:S:1:pos:R:3 comment="NpPRh3 (PBE, relaxed)" magnetic_moment_mub_per_fu=3.42 e_form_ev_per_atom=-0.64 dos_at_fermi_per_ev_cell=10.61 pbc="T T T"
Rh -3.044 -1.856 -2.370
P -5.063 -2.822 1.124
Rh -3.436 -1.414 0.300
Rh -5.212 -3.008 -1.168
Np -6.502 -0.225 0.045

18
Lattice="4.005 0.000 0.000 0.000 6.910 -0.150 0.000 -0.285 11.160" Properties=species:S:1:pos:R:3 comment="NpPRh (PBE, relaxed)" magnetic_moment_mub_per_fu=1.06 e_form_ev_per_atom=-0.77 dos_at_fermi_per_ev_cell=36.85 pbc="T T T"
P 1.001 1.357 4.658
P 1.001 4.969 10.007
Rh 3.004 4.270 8.679
Rh 1.001 2.355 2.330
Np 3.004 4.496 0.727
Rh 1.001 5.774 4.988
Np 3.004 6.798 2.991
Rh 3.004 0.850 6.022
Np 1.001 3.248 6.769
P 3.004 1.655 1.002
Rh 1.001 6.760 0.868
Np 1.001 2.129 10.283
P 1.001 4.785 2.726
Np 1.001 -0.174 8.019
Rh 3.004 -0.135 10.141
Np 3.004 3.377 4.241
P 3.004 5.267 6.352
P 3.004 1.840 8.284

17
Lattice="6.729 0.000 -2.379 -3.364 5.827 -2.379 0.000 0.000 7.137" Properties=species:S:1:pos:R:3 comment="Np4P6Rh7 (PBE, relaxed)" magnetic_moment_mub_per_fu=14.75 e_form_ev_per_atom=-0.65 dos_at_fermi_per_ev_cell=40.04 pbc="T T T"
Np 1.682 2.914 1.189
Rh 2.523 1.457 3.568
Np -1.682 2.914 -1.189
P 4.607 0.000 3.258
Rh 3.364 2.914 -1.189
Np 3.364 0.000 -1.189
Rh 0.000 2.914 3.568
P -1.061 1.837 1.500
Rh 0.000 0.000 0.000
Rh -0.841 4.370 1.189
P 2.303 3.990 -3.258
Rh 0.841 4.370 -1.189
P 1.061 1.837 -1.500
P -2.303 3.990 3.258
Rh 4.205 1.457 1.189
Np 0.000 0.000 3.568
P 2.122 0.000 1.500